No. 1
First-principles (GGA-PBE) data for a geometry-optimized YCuReSi structure, as listed in the Open Quantum Materials Database.

Its uncorrected energy is -6.784 eV per atom. As for the excess energy over the best structure of this formula in the dataset: 0 meV per atom. As for the volume: 260.4 Å³/cell.

Structure (CIF):
```
data_YCuReSi
_space_group_name_H-M_alt 'F -4 3 m'
_space_group_IT_number 216
_space_group_name_Hall 'F -4 2 3'
_cell_length_a 6.386
_cell_length_b 6.386
_cell_length_c 6.386
_cell_angle_alpha 90.00
_cell_angle_beta 90.00
_cell_angle_gamma 90.00
loop_
_atom_site_label
_atom_site_type_symbol
_atom_site_fract_x
_atom_site_fract_y
_atom_site_fract_z
Y1 Y 0.000 0.000 0.000
Cu1 Cu 0.250 0.250 0.750
Re1 Re 0.250 0.250 0.250
Si1 Si 0.000 0.000 0.500
```



No. 2
First-principles (GGA-PBE) data for a geometry-optimized DyTeAuO structure, as listed in the Open Quantum Materials Database.

Its uncorrected energy is -5.581 eV per atom. As for the excess energy over the best structure of this formula in the dataset: 208 meV per atom. As for the volume: 309.0 Å³/cell.

Structure (CIF):
```
data_DyTeAuO
_space_group_name_H-M_alt 'P 1 21/c 1'
_space_group_IT_number 14
_space_group_name_Hall '-P 2ybc'
_cell_length_a 7.780
_cell_length_b 6.320
_cell_length_c 6.285
_cell_angle_alpha 90.00
_cell_angle_beta 90.13
_cell_angle_gamma 90.00
loop_
_atom_site_label
_atom_site_type_symbol
_atom_site_fract_x
_atom_site_fract_y
_atom_site_fract_z
Dy1 Dy 0.097 0.020 0.246
Te1 Te 0.306 0.559 0.203
Au1 Au 0.416 0.201 0.011
O1 O 0.003 0.240 0.994
```



No. 3
First-principles (GGA-PBE) data for a geometry-optimized BaZrAsO structure, as listed in the Open Quantum Materials Database.

Its uncorrected energy is -6.747 eV per atom. As for the excess energy over the best structure of this formula in the dataset: 0 meV per atom. As for the volume: 223.6 Å³/cell.

Structure (CIF):
```
data_BaZrAsO
_space_group_name_H-M_alt 'P m c 21'
_space_group_IT_number 26
_space_group_name_Hall 'P 2c -2'
_cell_length_a 4.558
_cell_length_b 7.493
_cell_length_c 6.548
_cell_angle_alpha 90.00
_cell_angle_beta 90.00
_cell_angle_gamma 90.00
loop_
_atom_site_label
_atom_site_type_symbol
_atom_site_fract_x
_atom_site_fract_y
_atom_site_fract_z
Ba1 Ba 0.000 0.207 0.000
Zr1 Zr 0.500 0.397 0.577
As1 As 0.000 0.232 0.496
O1 O 0.500 0.380 0.895
```



No. 4
First-principles (GGA-PBE) data for a geometry-optimized LiSc2Os structure, as listed in the Open Quantum Materials Database.

Its uncorrected energy is -6.665 eV per atom. As for the excess energy over the best structure of this formula in the dataset: 116 meV per atom. As for the volume: 69.5 Å³/cell.

Structure (CIF):
```
data_LiSc2Os
_space_group_name_H-M_alt 'P 4/m m m'
_space_group_IT_number 123
_space_group_name_Hall '-P 4 2'
_cell_length_a 4.580
_cell_length_b 4.580
_cell_length_c 3.314
_cell_angle_alpha 90.00
_cell_angle_beta 90.00
_cell_angle_gamma 90.00
loop_
_atom_site_label
_atom_site_type_symbol
_atom_site_fract_x
_atom_site_fract_y
_atom_site_fract_z
Li1 Li 0.000 0.000 0.000
Sc1 Sc 0.000 0.500 0.500
Os1 Os 0.500 0.500 0.000
```



No. 5
First-principles (GGA-PBE) data for a geometry-optimized Pm4GaI5 structure, as listed in the Open Quantum Materials Database.

Its uncorrected energy is -4.134 eV per atom. As for the volume: 744.6 Å³/cell.

Structure (CIF):
```
data_Pm4GaI5
_space_group_name_H-M_alt 'C 1 2/m 1'
_space_group_IT_number 12
_space_group_name_Hall '-C 2y'
_cell_length_a 19.545
_cell_length_b 4.321
_cell_length_c 9.029
_cell_angle_alpha 90.00
_cell_angle_beta 102.46
_cell_angle_gamma 90.00
loop_
_atom_site_label
_atom_site_type_symbol
_atom_site_fract_x
_atom_site_fract_y
_atom_site_fract_z
Pm1 Pm 0.000 0.000 0.219
Pm2 Pm 0.149 0.500 0.075
Ga1 Ga 0.000 0.500 0.000
I1 I 0.000 0.500 0.500
I2 I 0.167 0.000 0.338
I3 I 0.172 0.000 0.827
```



No. 6
First-principles (GGA-PBE) data for a geometry-optimized ErAgGe structure, as listed in the Open Quantum Materials Database.

Its uncorrected energy is -4.650 eV per atom. As for the volume: 185.2 Å³/cell.

Structure (CIF):
```
data_ErAgGe
_space_group_name_H-M_alt 'P -6 2 m'
_space_group_IT_number 189
_space_group_name_Hall 'P -6 -2'
_cell_length_a 7.1135
_cell_length_b 7.1135
_cell_length_c 4.2252
_cell_angle_alpha 90.00
_cell_angle_beta 90.00
_cell_angle_gamma 120.00
loop_
_atom_site_label
_atom_site_type_symbol
_atom_site_fract_x
_atom_site_fract_y
_atom_site_fract_z
Er1 Er 0.0000 0.5804 0.0000
Ag1 Ag 0.0000 0.2498 0.5000
Ge1 Ge 0.0000 0.0000 0.0000
Ge2 Ge 0.3333 0.6667 0.5000
```



No. 7
First-principles (GGA-PBE) data for a geometry-optimized K2MgNiH6 structure, as listed in the Open Quantum Materials Database.

Its uncorrected energy is -3.074 eV per atom. As for the volume: 441.8 Å³/cell.

Structure (CIF):
```
data_K2MgNiH6
_space_group_name_H-M_alt 'F m -3 m'
_space_group_IT_number 225
_space_group_name_Hall '-F 4 2 3'
_cell_length_a 7.616
_cell_length_b 7.616
_cell_length_c 7.616
_cell_angle_alpha 90.00
_cell_angle_beta 90.00
_cell_angle_gamma 90.00
loop_
_atom_site_label
_atom_site_type_symbol
_atom_site_fract_x
_atom_site_fract_y
_atom_site_fract_z
K1 K 0.250 0.250 0.250
Mg1 Mg 0.000 0.000 0.000
Ni1 Ni 0.000 0.000 0.500
H1 H 0.000 0.000 0.279
```



No. 8
First-principles (GGA-PBE) data for a geometry-optimized KLuNO structure, as listed in the Open Quantum Materials Database.

Its uncorrected energy is -5.464 eV per atom. As for the excess energy over the best structure of this formula in the dataset: 617 meV per atom. As for the volume: 178.8 Å³/cell.

Structure (CIF):
```
data_KLuNO
_space_group_name_H-M_alt 'P 4/n m m'
_space_group_IT_number 129
_cell_length_a 4.471
_cell_length_b 4.471
_cell_length_c 8.941
_cell_angle_alpha 90.00
_cell_angle_beta 90.00
_cell_angle_gamma 90.00
loop_
_space_group_symop_operation_xyz
'x,y,z'
'-x,-y,-z'
'-y+1/2,x,z'
'y+1/2,-x,-z'
'-x+1/2,-y+1/2,z'
'x+1/2,y+1/2,-z'
'y,-x+1/2,z'
'-y,x+1/2,-z'
'x+1/2,-y,-z'
'-x+1/2,y,z'
'-y,-x,-z'
'y,x,z'
'-x,y+1/2,-z'
'x,-y+1/2,z'
'y+1/2,x+1/2,-z'
'-y+1/2,-x+1/2,z'
loop_
_atom_site_label
_atom_site_type_symbol
_atom_site_fract_x
_atom_site_fract_y
_atom_site_fract_z
K1 K 0.250 0.250 0.132
Lu1 Lu 0.250 0.750 0.500
N1 N 0.250 0.250 0.454
O1 O 0.250 0.750 0.000
```



No. 9
First-principles (GGA-PBE) data for a geometry-optimized Lu4PPbN2 structure, as listed in the Open Quantum Materials Database.

Its uncorrected energy is -6.785 eV per atom. As for the volume: 148.3 Å³/cell.

Structure (CIF):
```
data_Lu4PPbN2
_space_group_name_H-M_alt 'P -6 m 2'
_space_group_IT_number 187
_space_group_name_Hall 'P -6 2'
_cell_length_a 3.5462
_cell_length_b 3.5462
_cell_length_c 13.6188
_cell_angle_alpha 90.00
_cell_angle_beta 90.00
_cell_angle_gamma 120.00
loop_
_atom_site_label
_atom_site_type_symbol
_atom_site_fract_x
_atom_site_fract_y
_atom_site_fract_z
Lu1 Lu 0.0000 0.0000 0.1277
Lu2 Lu 0.6667 0.3333 0.3166
P1 P 0.6667 0.3333 0.0000
Pb1 Pb 0.0000 0.0000 0.5000
N1 N 0.3333 0.6667 0.2316
```



No. 10
First-principles (GGA-PBE) data for a geometry-optimized YMgTcTe structure, as listed in the Open Quantum Materials Database.

Its uncorrected energy is -5.283 eV per atom. As for the excess energy over the best structure of this formula in the dataset: 99 meV per atom. As for the volume: 345.2 Å³/cell.

Structure (CIF):
```
data_YMgTcTe
_space_group_name_H-M_alt 'F -4 3 m'
_space_group_IT_number 216
_space_group_name_Hall 'F -4 2 3'
_cell_length_a 7.015
_cell_length_b 7.015
_cell_length_c 7.015
_cell_angle_alpha 90.00
_cell_angle_beta 90.00
_cell_angle_gamma 90.00
loop_
_atom_site_label
_atom_site_type_symbol
_atom_site_fract_x
_atom_site_fract_y
_atom_site_fract_z
Y1 Y 0.000 0.000 0.000
Mg1 Mg 0.000 0.000 0.500
Tc1 Tc 0.250 0.250 0.250
Te1 Te 0.250 0.250 0.750
```



No. 11
First-principles (GGA-PBE) data for a geometry-optimized KHfCo structure, as listed in the Open Quantum Materials Database.

Its uncorrected energy is -4.863 eV per atom. As for the excess energy over the best structure of this formula in the dataset: 0 meV per atom. As for the volume: 277.2 Å³/cell.

Structure (CIF):
```
data_KHfCo
_space_group_name_H-M_alt 'F -4 3 m'
_space_group_IT_number 216
_space_group_name_Hall 'F -4 2 3'
_cell_length_a 6.520
_cell_length_b 6.520
_cell_length_c 6.520
_cell_angle_alpha 90.00
_cell_angle_beta 90.00
_cell_angle_gamma 90.00
loop_
_atom_site_label
_atom_site_type_symbol
_atom_site_fract_x
_atom_site_fract_y
_atom_site_fract_z
K1 K 0.000 0.000 0.000
Hf1 Hf 0.000 0.000 0.500
Co1 Co 0.250 0.250 0.750
```



No. 12
First-principles (GGA-PBE) data for a geometry-optimized La2PrTa2N6 structure, as listed in the Open Quantum Materials Database.

Its uncorrected energy is -9.422 eV per atom. As for the volume: 329.9 Å³/cell.

Structure (CIF):
```
data_La2PrTa2N6
_space_group_name_H-M_alt 'I 4/m m m'
_space_group_IT_number 139
_space_group_name_Hall '-I 4 2'
_cell_length_a 4.066
_cell_length_b 4.066
_cell_length_c 19.960
_cell_angle_alpha 90.00
_cell_angle_beta 90.00
_cell_angle_gamma 90.00
loop_
_atom_site_label
_atom_site_type_symbol
_atom_site_fract_x
_atom_site_fract_y
_atom_site_fract_z
La1 La 0.000 0.000 0.180
Pr1 Pr 0.000 0.000 0.000
Ta1 Ta 0.000 0.000 0.400
N1 N 0.000 0.000 0.302
N2 N 0.000 0.500 0.085
```